7
Lattice="1.824 -18.883 0.000 1.824 18.883 0.000 0.000 0.000 3.660" Properties=species:S:1:pos:R:3 comment="Ac2Tb4Y | Alexandria | PBE | relaxed" sg="Cmmm (65)" ef_ev_per_atom=0.093 pbc="T T T"
Ac 1.824 11.173 0.000
Ac 1.824 -11.173 0.000
Tb 1.824 16.402 0.000
Tb 1.824 4.937 1.830
Tb 1.824 -4.937 1.830
Tb 1.824 -16.402 0.000
Y 1.824 0.000 1.830

***

12
Lattice="3.483 -6.017 0.000 3.483 6.017 0.000 -2.311 0.000 6.493" Properties=species:S:1:pos:R:3 comment="Dy6ZnSe2S3 | Alexandria | PBE | relaxed" sg="C2/m (12)" raw_formation_energy_mev_per_atom=-1634 pbc="T T T"
Dy -0.013 1.971 4.926
Dy 1.116 0.000 1.552
Dy -0.013 -1.971 4.926
Dy 4.668 1.971 1.567
Dy 3.539 0.000 4.940
Dy 4.668 -1.971 1.567
Zn -1.155 0.000 3.246
Se 2.328 1.991 3.246
Se 2.328 -1.991 3.246
S 3.483 3.962 0.000
S 3.483 0.000 0.000
S 3.483 -3.962 0.000

***

4
Lattice="3.113 0.000 0.000 0.000 3.113 0.000 0.000 0.000 7.587" Properties=species:S:1:pos:R:3 comment="Fe2AsPb | Alexandria | PBE | relaxed" sg="P4mm (99)" relative_energy_ev_per_atom=0.0000 ef_ev_per_atom=0.153 pbc="T T T"
Fe 0.000 0.000 0.000
Fe 1.557 1.557 1.222
As 1.557 1.557 6.311
Pb 0.000 0.000 3.217

***

3
Lattice="2.735 0.000 0.000 -1.367 2.369 0.000 0.000 0.000 6.585" Properties=species:S:1:pos:R:3 comment="CuReOs | Alexandria | PBE | relaxed" sg="P3m1 (156)" relative_energy_ev_per_atom=0.0059 ef_ev_per_atom=0.173 pbc="T T T"
Cu 0.000 0.000 0.000
Re 0.000 1.579 4.337
Os 1.367 0.790 2.236

***

Number 1: density 7.762 g/cm³, V 252.15 Å³/cell. Number 2: density 7.899 g/cm³, V 272.15 Å³/cell. Number 3: density 8.892 g/cm³, V 73.54 Å³/cell. Number 4: density 17.128 g/cm³, V 42.66 Å³/cell.